# 1
The following is a PBE-GGA calculation of CuAg3C after structural relaxation, from Alexandria.

Output
- Fermi-level density of states: 2.5 states/eV per cell
- E_form: 1.89 eV per atom
- V: 109.1 Å³ per cell

a b c (Å): 4.779 4.779 4.779
angles (deg): 90.00 90.00 90.00
Last column: magnetic moment on the atom in μB.
Positions (direct):
C: 0.500 0.500 0.500  0.72
Ag: 0.500 0.000 0.000  -0.04
Ag: 0.000 0.000 0.500  0.01
Ag: 0.000 0.500 0.000  -0.01
Cu: 0.000 0.000 0.000  0.02


# 2
The following is a PBE-GGA calculation of TbCe5Se6 after structural relaxation, from Alexandria.

Output
- Fermi-level density of states: 30.0 states/eV per cell
- Raw formation energy: -1.81 eV/atom
- V: 310.3 Å³ per cell

a b c (Å): 7.241 7.243 7.248
angles (deg): 60.03 80.38 70.46
Last column: magnetic moment on the atom in μB.
Positions (direct):
Ce: 0.000 0.334 0.332  0.75
Ce: 0.000 0.666 0.668  0.75
Ce: 0.500 0.169 0.663  0.77
Ce: 0.500 0.831 0.337  0.77
Ce: 0.500 0.500 0.000  0.77
Se: 0.246 0.590 0.328  -0.02
Se: 0.246 0.918 0.672  -0.02
Se: 0.752 0.755 0.000  -0.01
Se: 0.754 0.082 0.328  -0.02
Se: 0.754 0.410 0.672  -0.02
Se: 0.248 0.245 0.000  -0.01
Tb: 0.000 0.000 0.000  -0.01


# 3
The following is a PBE-GGA calculation of Ce9In2Cu after structural relaxation, from Alexandria.

Output
- Fermi-level density of states: 67.6 states/eV per cell
- E_form: 0.22 eV per atom
- V: 661.1 Å³ per cell

a b c (Å): 10.662 10.662 5.815
angles (deg): 90.00 90.00 90.00
Last column: magnetic moment on the atom in μB.
Positions (direct):
Ce: 0.463 0.318 0.500  0.28
Ce: 0.000 0.500 0.500  0.43
Ce: 0.687 0.187 0.236  0.61
Ce: 0.682 0.463 0.500  0.28
Ce: 0.187 0.313 0.236  0.61
Ce: 0.818 0.963 0.500  0.28
Ce: 0.537 0.682 0.500  0.28
Ce: 0.037 0.818 0.500  0.28
Ce: 0.813 0.687 0.764  0.61
Ce: 0.318 0.537 0.500  0.28
Ce: 0.182 0.037 0.500  0.28
Ce: 0.813 0.687 0.236  0.61
Ce: 0.687 0.187 0.764  0.61
Ce: 0.313 0.813 0.236  0.61
Ce: 0.500 0.000 0.500  0.43
Ce: 0.187 0.313 0.764  0.61
Ce: 0.963 0.182 0.500  0.28
Ce: 0.313 0.813 0.764  0.61
Cu: 0.500 0.500 0.000  0.01
Cu: 0.000 0.000 0.000  0.01
In: 0.389 0.111 0.000  -0.01
In: 0.611 0.889 0.000  -0.01
In: 0.111 0.611 0.000  -0.01
In: 0.889 0.389 0.000  -0.01


# 4
The following is a PBE-GGA calculation of AgSnRh2 after structural relaxation, from Alexandria.

Output
- Fermi-level density of states: 3.7 states/eV per cell
- E_form: 0.36 eV per atom
- V: 73.1 Å³ per cell

a b c (Å): 6.054 6.054 6.054
angles (deg): 54.54 152.69 133.76
Positions (direct):
Sn: 0.000 0.500 0.500
Rh: 0.000 0.737 0.737
Rh: 0.000 0.263 0.263
Ag: 0.000 0.000 0.000


# 5
The following is a PBE-GGA calculation of CaCo4Tc after structural relaxation, from Alexandria.

Output
- Fermi-level density of states: 8.7 states/eV per cell
- E_form: 0.27 eV per atom
- V: 84.1 Å³ per cell

a b c (Å): 4.918 4.918 4.918
angles (deg): 60.00 60.00 60.00
Last column: magnetic moment on the atom in μB.
Positions (direct):
Co: 0.376 0.376 0.376  1.75
Co: 0.872 0.376 0.376  1.75
Co: 0.376 0.376 0.872  1.75
Co: 0.376 0.872 0.376  1.75
Ca: 0.000 0.000 0.000  -0.04
Tc: 0.750 0.750 0.750  1.80


# 6
The following is a PBE-GGA calculation of YCl after structural relaxation, from Alexandria.

Output
- Fermi-level density of states: 2.2 states/eV per cell
- Raw formation energy: -1.43 eV/atom
- V: 121.5 Å³ per cell

a b c (Å): 3.723 3.723 10.127
angles (deg): 90.00 90.00 120.00
Last column: magnetic moment on the atom in μB.
Positions (direct):
Cl: 0.000 0.000 0.941  0.02
Cl: 0.667 0.333 0.309  0.02
Y: 0.000 0.000 0.484  0.34
Y: 0.667 0.333 0.766  0.34


| no. | magnetization (μB per formula unit) |
| --- | --- |
| 1 | 1.44 |
| 2 | 4.47 |
| 3 | 4.82 |
| 4 | 0.00 |
| 5 | 8.74 |
| 6 | 0.70 |